Record 1
DFT (PBE-GGA) results for a relaxed KTc2O crystal.

Values from the calculation:
- formation energy without anion corrections (eV/atom) = 0.4865
- total energy (eV/f.u.) = -24.8

Unit cell a=6.327 b=6.327 c=6.327 alpha=119.94 beta=119.94 gamma=90.11
Positions (direct):
K: 0.375 0.625 0.750
K: 0.625 0.375 0.250
Tc: 0.000 0.000 0.000
Tc: 0.000 0.000 0.500
Tc: 0.000 0.500 0.000
Tc: 0.500 0.000 0.500
O: 0.125 0.875 0.250
O: 0.875 0.125 0.750



Record 2
DFT (PBE-GGA) results for a relaxed YTh2Co2 crystal.

Values from the calculation:
- formation energy (meV per atom) = -227
- total energy (eV/f.u.) = -36.7

Unit cell a=7.702 b=7.702 c=3.727 alpha=90.00 beta=90.00 gamma=90.00
Positions (direct):
Y: 0.000 0.000 0.000
Y: 0.500 0.500 0.000
Th: 0.163 0.337 0.500
Th: 0.337 0.837 0.500
Th: 0.663 0.163 0.500
Th: 0.837 0.663 0.500
Co: 0.128 0.628 0.000
Co: 0.372 0.128 0.000
Co: 0.628 0.872 0.000
Co: 0.872 0.372 0.000



Record 3
DFT (PBE-GGA) results for a relaxed La2SmFe crystal.

Values from the calculation:
- formation energy (meV per atom) = 218
- total energy (eV/f.u.) = -22.2

Unit cell a=9.697 b=9.697 c=9.697 alpha=22.85 beta=22.85 gamma=22.85
Positions (direct):
La: 0.223 0.223 0.223
La: 0.777 0.777 0.777
Sm: 0.000 0.000 0.000
Fe: 0.500 0.500 0.500



Record 4
DFT (PBE-GGA) results for a relaxed Ce2USe5 crystal.

Values from the calculation:
- formation energy without anion corrections (eV/atom) = -1.6014
- total energy (eV/f.u.) = -53.4

Unit cell a=12.399 b=8.430 c=7.815 alpha=90.00 beta=90.00 gamma=90.00
Positions (direct):
Ce: 0.178 0.000 0.028
Ce: 0.178 0.500 0.028
Ce: 0.322 0.000 0.528
Ce: 0.322 0.500 0.528
Ce: 0.678 0.000 0.472
Ce: 0.678 0.500 0.472
Ce: 0.822 0.000 0.972
Ce: 0.822 0.500 0.972
U: 0.008 0.250 0.575
U: 0.492 0.750 0.075
U: 0.508 0.250 0.925
U: 0.992 0.750 0.425
Se: 0.001 0.250 0.958
Se: 0.095 0.545 0.666
Se: 0.095 0.955 0.666
Se: 0.187 0.250 0.333
Se: 0.216 0.750 0.305
Se: 0.284 0.250 0.805
Se: 0.313 0.750 0.833
Se: 0.405 0.045 0.166
Se: 0.405 0.455 0.166
Se: 0.499 0.750 0.458
Se: 0.501 0.250 0.542
Se: 0.595 0.545 0.834
Se: 0.595 0.955 0.834
Se: 0.687 0.250 0.167
Se: 0.716 0.750 0.195
Se: 0.784 0.250 0.695
Se: 0.813 0.750 0.667
Se: 0.905 0.045 0.334
Se: 0.905 0.455 0.334
Se: 0.999 0.750 0.042



Record 5
DFT (PBE-GGA) results for a relaxed Cu2Mo2Ru crystal.

Values from the calculation:
- formation energy (meV per atom) = 637
- total energy (eV/f.u.) = -35.9

Unit cell a=7.190 b=7.190 c=7.190 alpha=152.97 beta=152.97 gamma=38.60
Positions (direct):
Cu: 0.250 0.750 0.500
Cu: 0.750 0.250 0.500
Mo: 0.090 0.090 0.000
Mo: 0.910 0.910 0.000
Ru: 0.500 0.500 0.000



Record 6
DFT (PBE-GGA) results for a relaxed InAg2F5 crystal.

Values from the calculation:
- formation energy without anion corrections (eV/atom) = -1.7499
- total energy (eV/f.u.) = -31.8

Unit cell a=6.576 b=6.576 c=11.408 alpha=90.00 beta=90.00 gamma=142.16
Positions (direct):
In: 0.163 0.837 0.750
In: 0.837 0.163 0.250
Ag: 0.138 0.862 0.072
Ag: 0.138 0.862 0.428
Ag: 0.862 0.138 0.572
Ag: 0.862 0.138 0.928
F: 0.047 0.953 0.619
F: 0.047 0.953 0.881
F: 0.279 0.721 0.614
F: 0.279 0.721 0.886
F: 0.317 0.683 0.250
F: 0.683 0.317 0.750
F: 0.721 0.279 0.114
F: 0.721 0.279 0.386
F: 0.953 0.047 0.119
F: 0.953 0.047 0.381



Record 7
DFT (PBE-GGA) results for a relaxed Hg2Au2Se crystal.

Values from the calculation:
- formation energy without anion corrections (eV/atom) = 0.0913
- total energy (eV/f.u.) = -10.2

Unit cell a=7.881 b=7.881 c=7.881 alpha=151.32 beta=151.32 gamma=41.01
Positions (direct):
Hg: 0.099 0.099 0.000
Hg: 0.901 0.901 0.000
Au: 0.250 0.750 0.500
Au: 0.750 0.250 0.500
Se: 0.500 0.500 0.000



Record 8
DFT (PBE-GGA) results for a relaxed NbTcOF2 crystal.

Values from the calculation:
- formation energy without anion corrections (eV/atom) = -0.2474
- total energy (eV/f.u.) = -30.4

Unit cell a=4.570 b=4.570 c=3.736 alpha=90.00 beta=90.00 gamma=90.00
Positions (direct):
Nb: 0.000 0.000 0.000
Tc: 0.500 0.500 0.000
O: 0.000 0.000 0.500
F: 0.000 0.500 0.500
F: 0.500 0.000 0.500



Q: The highest total energy belongs to which entry?
A: Hg2Au2Se



Q: Which of these has the highest total energy?
A: Hg2Au2Se



Repeat the sixth record exactly.
DFT (PBE-GGA) results for a relaxed InAg2F5 crystal.

Values from the calculation:
- formation energy without anion corrections (eV/atom) = -1.7499
- total energy (eV/f.u.) = -31.8

Unit cell a=6.576 b=6.576 c=11.408 alpha=90.00 beta=90.00 gamma=142.16
Positions (direct):
In: 0.163 0.837 0.750
In: 0.837 0.163 0.250
Ag: 0.138 0.862 0.072
Ag: 0.138 0.862 0.428
Ag: 0.862 0.138 0.572
Ag: 0.862 0.138 0.928
F: 0.047 0.953 0.619
F: 0.047 0.953 0.881
F: 0.279 0.721 0.614
F: 0.279 0.721 0.886
F: 0.317 0.683 0.250
F: 0.683 0.317 0.750
F: 0.721 0.279 0.114
F: 0.721 0.279 0.386
F: 0.953 0.047 0.119
F: 0.953 0.047 0.381



Q: What is the total energy in the fourth record?
A: -53.4 eV/f.u.